Entry 1:
Entry from Alexandria via LeMat-Bulk: a relaxed DyY2HoTe6 crystal (PBE-GGA). Values from VASP.

E_form (uncorrected) = -13.72 eV per formula unit
Total moment = 0.00 μB per formula unit

Structure (Quantum ESPRESSO input):
```
&SYSTEM
  ibrav = 0, nat = 10, ntyp = 4
/
ATOMIC_SPECIES
Dy 162.50 Dy.upf
Y 88.91 Y.upf
Ho 164.93 Ho.upf
Te 127.60 Te.upf
ATOMIC_POSITIONS angstrom
Dy -12.132 6.424 1.619
Y -7.923 4.962 1.537
Y -2.941 6.689 3.601
Ho -4.249 1.297 -0.028
Te -5.832 3.879 -0.433
Te -8.553 2.289 2.910
Te -10.300 4.944 -0.406
Te -9.753 6.470 3.550
Te -7.129 7.820 0.600
Te -5.723 5.397 3.692
CELL_PARAMETERS angstrom
-5.798 3.709 -3.423
-7.068 -0.310 3.006
-2.903 6.844 3.705
```

=====

Entry 2:
Entry from Alexandria via LeMat-Bulk: a relaxed Dy2YHo3Te6 crystal (PBE-GGA). Values from VASP.

E_form (uncorrected) = -15.20 eV per formula unit
Total moment = 0.00 μB per formula unit

Structure (Quantum ESPRESSO input):
```
&SYSTEM
  ibrav = 0, nat = 12, ntyp = 4
/
ATOMIC_SPECIES
Dy 162.50 Dy.upf
Y 88.91 Y.upf
Ho 164.93 Ho.upf
Te 127.60 Te.upf
ATOMIC_POSITIONS angstrom
Dy 2.166 4.145 6.297
Dy 0.000 2.063 3.146
Y 2.166 0.000 0.000
Ho 2.166 4.363 0.154
Ho 2.166 -0.219 6.147
Ho 0.000 6.427 3.295
Te 0.000 6.335 6.359
Te 2.166 4.255 3.219
Te 2.166 -0.127 3.083
Te 2.166 -0.320 9.207
Te 0.000 6.528 0.235
Te 0.000 1.953 6.224
CELL_PARAMETERS angstrom
4.331 0.000 0.000
0.000 8.725 0.309
-2.166 -2.517 9.134
```

=====

Entry 3:
Entry from Alexandria via LeMat-Bulk: a relaxed Dy3Y3HoTe8 crystal (PBE-GGA). Values from VASP.

E_form (uncorrected) = -20.56 eV per formula unit
Total moment = 0.00 μB per formula unit

Structure (Quantum ESPRESSO input):
```
&SYSTEM
  ibrav = 0, nat = 15, ntyp = 4
/
ATOMIC_SPECIES
Dy 162.50 Dy.upf
Y 88.91 Y.upf
Ho 164.93 Ho.upf
Te 127.60 Te.upf
ATOMIC_POSITIONS angstrom
Dy -3.007 5.211 1.234
Dy -1.605 1.843 3.589
Dy 2.574 0.673 3.432
Y 0.000 0.000 0.000
Y 1.402 -3.368 2.355
Y -2.777 -2.198 2.512
Ho 1.172 4.041 1.077
Te -0.101 -0.759 2.977
Te -3.110 4.444 4.202
Te -4.277 0.427 3.075
Te 1.067 3.259 4.104
Te -5.651 3.728 0.767
Te 2.441 -0.043 6.412
Te -1.555 2.581 0.613
Te -1.656 1.105 6.566
CELL_PARAMETERS angstrom
-8.358 2.340 0.314
2.803 -6.736 4.710
2.344 8.081 2.155
```

=====

Entry 4:
Entry from Alexandria via LeMat-Bulk: a relaxed DyYHo2Te6 crystal (PBE-GGA). Values from VASP.

E_form (uncorrected) = -13.64 eV per formula unit
Total moment = 0.00 μB per formula unit

Structure (Quantum ESPRESSO input):
```
&SYSTEM
  ibrav = 0, nat = 10, ntyp = 4
/
ATOMIC_SPECIES
Dy 162.50 Dy.upf
Y 88.91 Y.upf
Ho 164.93 Ho.upf
Te 127.60 Te.upf
ATOMIC_POSITIONS angstrom
Dy 3.839 2.217 0.213
Y 11.518 6.650 3.725
Ho 7.678 4.433 3.324
Ho 3.839 2.217 6.836
Te 6.483 2.096 1.760
Te 6.252 6.637 1.760
Te 10.300 4.566 1.760
Te 8.867 6.530 5.267
Te 8.900 2.356 5.267
Te 5.268 4.414 5.267
CELL_PARAMETERS angstrom
7.679 0.000 0.000
3.839 6.650 0.000
3.839 2.217 7.014
```

=====

Entry 5:
Entry from Alexandria via LeMat-Bulk: a relaxed DyY2Ho3Te6 crystal (PBE-GGA). Values from VASP.

E_form (uncorrected) = -15.27 eV per formula unit
Total moment = 0.00 μB per formula unit

Structure (Quantum ESPRESSO input):
```
&SYSTEM
  ibrav = 0, nat = 12, ntyp = 4
/
ATOMIC_SPECIES
Dy 162.50 Dy.upf
Y 88.91 Y.upf
Ho 164.93 Ho.upf
Te 127.60 Te.upf
ATOMIC_POSITIONS angstrom
Dy -1.174 1.570 0.918
Y 4.810 3.661 4.995
Y 2.995 1.050 2.034
Ho -0.143 0.028 4.875
Ho 3.776 5.201 1.039
Ho 4.028 -0.490 5.990
Te 6.503 1.314 6.070
Te 2.327 1.835 4.944
Te 1.302 3.397 0.960
Te 6.251 7.014 1.102
Te 1.554 -2.303 5.927
Te 5.478 2.876 2.086
CELL_PARAMETERS angstrom
-2.348 3.141 1.836
2.062 -3.085 7.914
8.091 4.655 -2.721
```

=====

Entry 6:
Entry from Alexandria via LeMat-Bulk: a relaxed Dy4Ho10Th crystal (PBE-GGA). Values from VASP.

Formation enthalpy at 0 K = 394.5 meV/atom
Total moment = 0.57 μB per formula unit

Structure (Quantum ESPRESSO input):
```
&SYSTEM
  ibrav = 0, nat = 15, ntyp = 3
/
ATOMIC_SPECIES
Dy 162.50 Dy.upf
Ho 164.93 Ho.upf
Th 232.04 Th.upf
ATOMIC_POSITIONS angstrom
Dy 7.787 5.028 7.993
Dy 12.130 2.768 10.994
Dy 3.984 4.081 3.796
Dy 8.327 1.820 6.797
Ho 5.690 3.424 6.327
Ho 8.451 2.224 10.591
Ho 2.291 0.675 3.475
Ho 10.770 6.174 9.937
Ho 10.715 4.624 5.578
Ho 7.662 4.624 4.200
Ho 10.423 3.424 8.464
Ho 5.399 2.224 9.212
Ho 5.344 0.675 4.853
Ho 13.822 6.174 11.315
Th 0.000 0.000 0.000
CELL_PARAMETERS angstrom
9.466 0.000 4.274
4.733 6.849 2.137
1.915 0.000 8.379
```